# Ta2FeRe (PBE, relaxed)
data_Ta2FeRe
_cell_length_a 3.162
_cell_length_b 3.162
_cell_length_c 6.211
_cell_angle_alpha 90.00
_cell_angle_beta 90.00
_cell_angle_gamma 90.00
_space_group_name_H-M_alt 'P 4/m m m'
_space_group_IT_number 123
_space_group_name_Hall '-P 4 2'
loop_
_atom_site_label
_atom_site_fract_x
_atom_site_fract_y
_atom_site_fract_z
_atom_site_occupancy
Ta1 0.000 0.000 0.243 1
Fe1 0.500 0.500 0.000 1
Re1 0.500 0.500 0.500 1
# N(E_F)	2.76	states/eV/cell
# energy relative to the elements	-0.265	eV per atom